1.
Rb2NaNdI6: relaxed, GGA-PBE.

Total magnetic moment (μB per cell): 0.0
Final energy (eV per atom): -3.12
Crystal system: cubic
Relative energy among the computed polymorphs (meV/atom): 39.5
ρ (Mg/m³): 3.75
Formation energy from raw total energies (eV per atom): -1.39

Cell lengths 8.8314, 8.8314, 8.8314 Å; angles 60.00, 60.00, 60.00 degrees
With the nearest neighbours (Å) after each atom.
Element x y z (fractional)
Rb 0.2500 0.2500 0.2500  12 I 4.42
Rb 0.7500 0.7500 0.7500  12 I 4.42
Na 0.0000 0.0000 0.0000  6 I 3.14
Nd 0.5000 0.5000 0.5000  6 I 3.10
I 0.2516 0.2516 0.7484  1 Nd 3.10, 1 Na 3.14
I 0.2516 0.7484 0.2516  1 Nd 3.10, 1 Na 3.14
I 0.2516 0.7484 0.7484  1 Nd 3.10, 1 Na 3.14
I 0.7484 0.2516 0.2516  1 Nd 3.10, 1 Na 3.14
I 0.7484 0.2516 0.7484  1 Nd 3.10, 1 Na 3.14
I 0.7484 0.7484 0.2516  1 Nd 3.10, 1 Na 3.14

***

2.
TbZr2Si: relaxed, GGA-PBE.

Total magnetic moment (μB per cell): 1.1
Final energy (eV per atom): -6.70
Crystal system: trigonal
ρ (Mg/m³): 5.84
Formation energy from raw total energies (eV per atom): 0.09

Cell lengths 3.5599, 3.5599, 28.6964 Å; angles 90.00, 90.00, 120.00 degrees
With the nearest neighbours (Å) after each atom.
Element x y z (fractional)
Tb 0.0000 0.0000 0.0000  2 Zr 3.20, 6 Tb 3.56
Tb 0.3333 0.6667 0.6667  2 Zr 3.20, 6 Tb 3.56
Tb 0.6667 0.3333 0.3333  2 Zr 3.20, 6 Tb 3.56
Zr 0.0000 0.0000 0.1117  3 Si 2.59
Zr 0.0000 0.0000 0.8883  3 Si 2.59
Zr 0.3333 0.6667 0.5550  3 Si 2.59
Zr 0.3333 0.6667 0.7783  3 Si 2.59
Zr 0.6667 0.3333 0.2217  3 Si 2.59
Zr 0.6667 0.3333 0.4450  3 Si 2.59
Si 0.0000 0.0000 0.5000  6 Zr 2.59
Si 0.3333 0.6667 0.1667  6 Zr 2.59
Si 0.6667 0.3333 0.8333  6 Zr 2.59

***

3.
Ho4CdAu: relaxed, GGA-PBE.

Total magnetic moment (μB per cell): 0.0
Final energy (eV per atom): -3.90
Crystal system: monoclinic
Relative energy among the computed polymorphs (meV/atom): 283.4
ρ (Mg/m³): 8.71

Cell lengths 7.2748, 7.4199, 6.8678 Å; angles 90.00, 94.96, 90.00 degrees
With the nearest neighbours (Å) after each atom.
Element x y z (fractional)
Ho 0.1589 0.1493 0.3928  1 Au 2.76, 2 Cd 2.97-3.05
Ho 0.1589 0.3507 0.8928  1 Au 2.76, 2 Cd 2.97-3.05
Ho 0.3366 0.6680 0.3210  2 Au 2.88-2.96, 1 Cd 3.10
Ho 0.3366 0.8320 0.8210  2 Au 2.88-2.96, 1 Cd 3.10
Ho 0.6634 0.1680 0.1790  2 Au 2.88-2.96, 1 Cd 3.10
Ho 0.6634 0.3320 0.6790  2 Au 2.88-2.96, 1 Cd 3.10
Ho 0.8411 0.6493 0.1072  1 Au 2.76, 2 Cd 2.97-3.05
Ho 0.8411 0.8507 0.6072  1 Au 2.76, 2 Cd 2.97-3.05
Cd 0.0000 0.0000 0.0000  6 Ho 2.97-3.10
Cd 0.0000 0.5000 0.5000  6 Ho 2.97-3.10
Au 0.5000 0.0000 0.5000  6 Ho 2.76-2.96
Au 0.5000 0.5000 0.0000  6 Ho 2.76-2.96

***

4.
AcDy2NbN4: relaxed, GGA-PBE.

Total magnetic moment (μB per cell): 0.0
Final energy (eV per atom): -8.33
Crystal system: orthorhombic
ρ (Mg/m³): 8.93
Formation energy from raw total energies (eV per atom): -1.24

Cell lengths 6.3849, 6.3849, 12.1575 Å; angles 90.00, 90.00, 148.25 degrees
With the nearest neighbours (Å) after each atom.
Element x y z (fractional)
Ac 0.0891 0.9109 0.7500  2 N 2.62
Ac 0.9109 0.0891 0.2500  2 N 2.62
Dy 0.3714 0.6286 0.5373  5 N 2.31-2.57
Dy 0.3714 0.6286 0.9627  5 N 2.31-2.57
Dy 0.6286 0.3714 0.0373  5 N 2.31-2.57
Dy 0.6286 0.3714 0.4627  5 N 2.31-2.57
Nb 0.1717 0.8283 0.2500  4 N 1.96-2.14
Nb 0.8283 0.1717 0.7500  4 N 1.96-2.14
N 0.0000 0.0000 0.0000  4 Dy 2.40
N 0.0000 0.0000 0.5000  4 Dy 2.40
N 0.2608 0.7392 0.1167  1 Nb 1.96
N 0.2608 0.7392 0.3833  1 Nb 1.96
N 0.4296 0.5704 0.7500  2 Nb 2.14
N 0.5704 0.4296 0.2500  2 Nb 2.14
N 0.7392 0.2608 0.6167  1 Nb 1.96
N 0.7392 0.2608 0.8833  1 Nb 1.96

***

5.
CuRe3: relaxed, GGA-PBE.

Total magnetic moment (μB per cell): 0.0
Final energy (eV per atom): -10.12
Crystal system: tetragonal
ρ (Mg/m³): 17.95

Cell lengths 2.7599, 2.7599, 7.5557 Å; angles 90.00, 90.00, 90.00 degrees
With the nearest neighbours (Å) after each atom.
Element x y z (fractional)
Cu 0.0000 0.0000 0.0000  8 Re 2.69, 4 Cu 2.76
Re 0.0000 0.0000 0.5000  12 Re 2.74-2.76
Re 0.5000 0.5000 0.2454  4 Cu 2.69, 8 Re 2.74-2.76
Re 0.5000 0.5000 0.7546  4 Cu 2.69, 8 Re 2.74-2.76

***

6.
YCd2Cl: relaxed, GGA-PBE.

Total magnetic moment (μB per cell): 0.0
Final energy (eV per atom): -3.09
Crystal system: tetragonal
Relative energy among the computed polymorphs (meV/atom): 97.6
ρ (Mg/m³): 6.02
Formation energy from raw total energies (eV per atom): -0.55

Cell lengths 4.0530, 4.0530, 11.7202 Å; angles 90.00, 90.00, 90.00 degrees
With the nearest neighbours (Å) after each atom.
Element x y z (fractional)
Y 0.0000 0.0000 0.0000  4 Cl 2.87
Y 0.5000 0.5000 0.5000  4 Cl 2.87
Cd 0.0000 0.5000 0.2500  4 Cd 2.87
Cd 0.0000 0.5000 0.7500  4 Cd 2.87
Cd 0.5000 0.0000 0.2500  4 Cd 2.87
Cd 0.5000 0.0000 0.7500  4 Cd 2.87
Cl 0.0000 0.0000 0.5000  4 Y 2.87
Cl 0.5000 0.5000 0.0000  4 Y 2.87

***

7.
La2BeCuO: relaxed, GGA-PBE.

Total magnetic moment (μB per cell): 0.0
Final energy (eV per atom): -5.27
Crystal system: tetragonal
ρ (Mg/m³): 6.04
Formation energy from raw total energies (eV per atom): -0.75

Cell lengths 5.0309, 5.0309, 3.9806 Å; angles 90.00, 90.00, 90.00 degrees
With the nearest neighbours (Å) after each atom.
Element x y z (fractional)
La 0.0000 0.5000 0.0000  2 O 2.52
La 0.5000 0.0000 0.0000  2 O 2.52
Be 0.0000 0.0000 0.5000  8 La 3.21, 4 Cu 3.56
Cu 0.5000 0.5000 0.5000  2 O 1.99
O 0.5000 0.5000 0.0000  2 Cu 1.99

***

8.
NdHoSe2: relaxed, GGA-PBE.

Total magnetic moment (μB per cell): 0.0
Final energy (eV per atom): -5.83
Crystal system: trigonal
Relative energy among the computed polymorphs (meV/atom): 37.2
ρ (Mg/m³): 7.62
Formation energy from raw total energies (eV per atom): -1.75

Cell lengths 4.0119, 4.0119, 21.9062 Å; angles 90.00, 90.00, 120.00 degrees
With the nearest neighbours (Å) after each atom.
Element x y z (fractional)
Nd 0.0000 0.0000 0.0000  6 Se 2.93-3.06
Nd 0.3333 0.6667 0.6667  6 Se 2.93-3.06
Nd 0.6667 0.3333 0.3333  6 Se 2.93-3.06
Ho 0.0000 0.0000 0.1767  6 Se 2.84-2.97
Ho 0.3333 0.6667 0.8434  6 Se 2.84-2.97
Ho 0.6667 0.3333 0.5100  6 Se 2.84-2.97
Se 0.0000 0.0000 0.4249  3 Ho 2.97, 3 Nd 3.06
Se 0.0000 0.0000 0.5851  3 Ho 2.84, 3 Nd 2.93
Se 0.3333 0.6667 0.0915  3 Ho 2.97, 3 Nd 3.06
Se 0.3333 0.6667 0.2518  3 Ho 2.84, 3 Nd 2.93
Se 0.6667 0.3333 0.7582  3 Ho 2.97, 3 Nd 3.06
Se 0.6667 0.3333 0.9184  3 Ho 2.84, 3 Nd 2.93

***

9.
Ag2PBr8: relaxed, GGA-PBE.

Total magnetic moment (μB per cell): 0.9
Final energy (eV per atom): -2.26
Crystal system: monoclinic
ρ (Mg/m³): 3.29
Formation energy from raw total energies (eV per atom): -0.03

Cell lengths 7.6879, 7.6879, 10.0712 Å; angles 113.26, 113.26, 57.38 degrees
With the nearest neighbours (Å) after each atom.
Element x y z (fractional)
Ag 0.1344 0.1344 0.0142  3 Br 2.52-2.68
Ag 0.8656 0.8656 0.9858  3 Br 2.52-2.68
P 0.5000 0.5000 0.5000  4 Br 2.30
Br 0.0698 0.0698 0.2134  2 Ag 2.52-2.68
Br 0.1633 0.6027 0.3467  1 P 2.30
Br 0.2658 0.2658 0.8966  1 Ag 2.54
Br 0.3973 0.8367 0.6533  1 P 2.30
Br 0.6027 0.1633 0.3467  1 P 2.30
Br 0.7342 0.7342 0.1034  1 Ag 2.54
Br 0.8367 0.3973 0.6533  1 P 2.30
Br 0.9302 0.9302 0.7866  2 Ag 2.52-2.68

***

10.
SrScRh2: relaxed, GGA-PBE.

Total magnetic moment (μB per cell): 0.0
Final energy (eV per atom): -6.01
Crystal system: monoclinic
Relative energy among the computed polymorphs (meV/atom): 221.6
ρ (Mg/m³): 6.41

Cell lengths 7.9534, 3.3015, 6.7923 Å; angles 90.00, 100.65, 90.00 degrees
With the nearest neighbours (Å) after each atom.
Element x y z (fractional)
Sr 0.0000 0.0000 0.0000  6 Rh 3.13-3.17, 2 Sr 3.30
Sr 0.5000 0.5000 0.0000  6 Rh 3.13-3.17, 2 Sr 3.30
Sc 0.0000 0.5000 0.5000  6 Rh 2.60-2.64
Sc 0.5000 0.0000 0.5000  6 Rh 2.60-2.64
Rh 0.2388 0.0000 0.6812  3 Sc 2.60-2.64
Rh 0.2612 0.5000 0.3188  3 Sc 2.60-2.64
Rh 0.7388 0.5000 0.6812  3 Sc 2.60-2.64
Rh 0.7612 0.0000 0.3188  3 Sc 2.60-2.64

***

11.
AcPr5Dy: relaxed, GGA-PBE.

Total magnetic moment (μB per cell): 0.0
Final energy (eV per atom): -4.57
Crystal system: monoclinic
ρ (Mg/m³): 6.97

Cell lengths 6.8237, 6.8237, 11.9270 Å; angles 102.36, 102.36, 97.23 degrees
With the nearest neighbours (Å) after each atom.
Element x y z (fractional)
Ac 0.0000 0.5000 0.0000  6 Pr 3.54-3.80
Ac 0.5000 0.0000 0.5000  6 Pr 3.54-3.80
Pr 0.0670 0.2762 0.5344  6 Pr 3.41-3.77, 2 Dy 3.53-3.60, 1 Ac 3.75
Pr 0.0825 0.9175 0.2500  6 Pr 3.41-3.76, 1 Dy 3.48, 2 Ac 3.54
Pr 0.2762 0.0670 0.0344  6 Pr 3.41-3.77, 2 Dy 3.53-3.60, 1 Ac 3.75
Pr 0.3034 0.4458 0.3311  4 Pr 3.42-3.77, 2 Dy 3.64-3.72, 1 Ac 3.80
Pr 0.4458 0.3034 0.8311  4 Pr 3.42-3.77, 2 Dy 3.64-3.72, 1 Ac 3.80
Pr 0.5542 0.6966 0.1689  4 Pr 3.42-3.77, 2 Dy 3.64-3.72, 1 Ac 3.80
Pr 0.6966 0.5542 0.6689  4 Pr 3.42-3.77, 2 Dy 3.64-3.72, 1 Ac 3.80
Pr 0.7238 0.9330 0.9656  6 Pr 3.41-3.77, 2 Dy 3.53-3.60, 1 Ac 3.75
Pr 0.9175 0.0825 0.7500  6 Pr 3.41-3.76, 1 Dy 3.48, 2 Ac 3.54
Pr 0.9330 0.7238 0.4656  6 Pr 3.41-3.77, 2 Dy 3.53-3.60, 1 Ac 3.75
Dy 0.2573 0.7427 0.7500  9 Pr 3.48-3.72
Dy 0.7427 0.2573 0.2500  9 Pr 3.48-3.72

***

12.
TiPbC3: relaxed, GGA-PBE.

Total magnetic moment (μB per cell): 0.0
Final energy (eV per atom): -4.72
Crystal system: cubic
Relative energy among the computed polymorphs (meV/atom): 1463.0
ρ (Mg/m³): 6.02

Cell lengths 4.3148, 4.3148, 4.3148 Å; angles 90.00, 90.00, 90.00 degrees
With the nearest neighbours (Å) after each atom.
Element x y z (fractional)
Ti 0.0000 0.0000 0.0000  12 C 3.05
Pb 0.5000 0.5000 0.5000  6 C 2.16
C 0.0000 0.5000 0.5000  2 Pb 2.16
C 0.5000 0.0000 0.5000  2 Pb 2.16
C 0.5000 0.5000 0.0000  2 Pb 2.16

***

What did the third record say?
Ho4CdAu: relaxed, GGA-PBE.

Total magnetic moment (μB per cell): 0.0
Final energy (eV per atom): -3.90
Crystal system: monoclinic
Relative energy among the computed polymorphs (meV/atom): 283.4
ρ (Mg/m³): 8.71

Cell lengths 7.2748, 7.4199, 6.8678 Å; angles 90.00, 94.96, 90.00 degrees
With the nearest neighbours (Å) after each atom.
Element x y z (fractional)
Ho 0.1589 0.1493 0.3928  1 Au 2.76, 2 Cd 2.97-3.05
Ho 0.1589 0.3507 0.8928  1 Au 2.76, 2 Cd 2.97-3.05
Ho 0.3366 0.6680 0.3210  2 Au 2.88-2.96, 1 Cd 3.10
Ho 0.3366 0.8320 0.8210  2 Au 2.88-2.96, 1 Cd 3.10
Ho 0.6634 0.1680 0.1790  2 Au 2.88-2.96, 1 Cd 3.10
Ho 0.6634 0.3320 0.6790  2 Au 2.88-2.96, 1 Cd 3.10
Ho 0.8411 0.6493 0.1072  1 Au 2.76, 2 Cd 2.97-3.05
Ho 0.8411 0.8507 0.6072  1 Au 2.76, 2 Cd 2.97-3.05
Cd 0.0000 0.0000 0.0000  6 Ho 2.97-3.10
Cd 0.0000 0.5000 0.5000  6 Ho 2.97-3.10
Au 0.5000 0.0000 0.5000  6 Ho 2.76-2.96
Au 0.5000 0.5000 0.0000  6 Ho 2.76-2.96